[1]
Compound: BiPbAu2
Source: Alexandria via LeMat-Bulk
Functional: PBE-GGA
Structure: optimized geometry

* total magnetization: 0.00 μB/f.u.
* DOS at the Fermi energy: 1.455 states/eV/cell
* final energy: -14.1 eV/cell

abc: 3.674 3.674 7.210
angles: 90.00 90.00 90.00
Space group P4/mmm (No. 123)
One atom of each set of equivalent atoms:
Bi1 0.000 0.000 0.000 [1 per cell]
Pb1 0.000 0.000 0.500 [1 per cell]
Au1 0.500 0.500 0.246 [2 per cell]

***

[2]
Compound: Bi2Pb5Au
Source: Alexandria via LeMat-Bulk
Functional: PBE-GGA
Structure: optimized geometry

* total magnetization: 0.00 μB/f.u.
* DOS at the Fermi energy: 13.907 states/eV/cell
* final energy: -117.9 eV/cell

abc: 16.806 8.865 6.846
angles: 90.00 100.64 90.00
Space group C2/c (No. 15)
One atom of each set of equivalent atoms:
Bi1 0.108 0.227 0.115 [8 per cell]
Pb1 0.000 0.481 0.750 [4 per cell]
Pb2 0.090 0.145 0.601 [8 per cell]
Pb3 0.210 0.439 0.839 [8 per cell]
Au1 0.250 0.250 0.500 [4 per cell]